--- i ---
Below is a relaxed structure of Ba2SrIn2, with properties calculated at the PBE level.

a = 6.078 Å, b = 6.078 Å, c = 13.225 Å
α = 105.54°, β = 105.54°, γ = 60.48°
Positions (direct):
Ba 0.126 0.126 0.406
Ba 0.270 0.270 0.755
Ba 0.730 0.730 0.245
Ba 0.874 0.874 0.594
Sr 0.339 0.339 0.094
Sr 0.661 0.661 0.906
In 0.007 0.007 0.114
In 0.449 0.449 0.383
In 0.551 0.551 0.617
In 0.993 0.993 0.886

Values from the calculation:
- DOS at the Fermi energy: 8.2 states/eV/cell
- Size of the total moment: 0.000 μB/cell


--- ii ---
Below is a relaxed structure of Ba2SrIn2, with properties calculated at the PBE level.

a = 7.487 Å, b = 7.487 Å, c = 7.487 Å
α = 131.39°, β = 131.39°, γ = 71.20°
Positions (direct):
Ba 0.143 0.143 0.000
Ba 0.857 0.857 0.000
Sr 0.500 0.500 0.000
In 0.250 0.750 0.500
In 0.750 0.250 0.500

Values from the calculation:
- DOS at the Fermi energy: 3.9 states/eV/cell
- Size of the total moment: 0.000 μB/cell


--- iii ---
Below is a relaxed structure of Ba2SrIn2, with properties calculated at the PBE level.

a = 9.757 Å, b = 9.757 Å, c = 4.502 Å
α = 90.00°, β = 90.00°, γ = 90.00°
Positions (direct):
Ba 0.169 0.331 0.000
Ba 0.331 0.831 0.000
Ba 0.669 0.169 0.000
Ba 0.831 0.669 0.000
Sr 0.000 0.000 0.500
Sr 0.500 0.500 0.500
In 0.124 0.624 0.500
In 0.376 0.124 0.500
In 0.624 0.876 0.500
In 0.876 0.376 0.500

Values from the calculation:
- DOS at the Fermi energy: 12.0 states/eV/cell
- Size of the total moment: 0.000 μB/cell


It is ii that is the least stable of them.


--- i ---
Below is a relaxed structure of Ba2SrIn2, with properties calculated at the PBE level.

a = 8.528 Å, b = 8.528 Å, c = 8.528 Å
α = 143.51°, β = 143.51°, γ = 52.56°
Positions (direct):
Ba 0.250 0.750 0.500
Ba 0.750 0.250 0.500
Sr 0.000 0.000 0.000
In 0.408 0.408 0.000
In 0.592 0.592 0.000

Values from the calculation:
- DOS at the Fermi energy: 1.9 states/eV/cell
- Size of the total moment: 0.000 μB/cell


--- ii ---
Below is a relaxed structure of Ba2SrIn2, with properties calculated at the PBE level.

a = 5.798 Å, b = 5.798 Å, c = 7.492 Å
α = 90.00°, β = 90.00°, γ = 59.92°
Positions (direct):
Ba 0.166 0.166 0.163
Ba 0.834 0.834 0.837
Sr 0.500 0.500 0.500
In 0.167 0.167 0.641
In 0.833 0.833 0.359

Values from the calculation:
- DOS at the Fermi energy: 3.8 states/eV/cell
- Size of the total moment: 0.000 μB/cell


--- iii ---
Below is a relaxed structure of Ba2SrIn2, with properties calculated at the PBE level.

a = 10.216 Å, b = 10.216 Å, c = 3.922 Å
α = 90.00°, β = 90.00°, γ = 90.00°
Positions (direct):
Ba 0.128 0.372 0.000
Ba 0.372 0.872 0.000
Ba 0.628 0.128 0.000
Ba 0.872 0.628 0.000
Sr 0.000 0.000 0.000
Sr 0.500 0.500 0.000
In 0.170 0.670 0.500
In 0.330 0.170 0.500
In 0.670 0.830 0.500
In 0.830 0.330 0.500

Values from the calculation:
- DOS at the Fermi energy: 12.6 states/eV/cell
- Size of the total moment: 0.000 μB/cell


It is i that is the least stable of them.


--- i ---
Below is a relaxed structure of BaSr4In, with properties calculated at the PBE level.

a = 7.627 Å, b = 7.627 Å, c = 7.627 Å
α = 60.00°, β = 60.00°, γ = 60.00°
Positions (direct):
Ba 0.000 0.000 0.000
Sr 0.376 0.376 0.376
Sr 0.376 0.376 0.873
Sr 0.376 0.873 0.376
Sr 0.873 0.376 0.376
In 0.750 0.750 0.750

Values from the calculation:
- DOS at the Fermi energy: 8.1 states/eV/cell
- Size of the total moment: 0.015 μB/cell


--- ii ---
Below is a relaxed structure of BaSr4In, with properties calculated at the PBE level.

a = 4.204 Å, b = 4.204 Å, c = 16.678 Å
α = 90.00°, β = 90.00°, γ = 90.00°
Positions (direct):
Ba 0.000 0.000 0.000
Sr 0.000 0.000 0.385
Sr 0.000 0.000 0.615
Sr 0.500 0.500 0.196
Sr 0.500 0.500 0.804
In 0.500 0.500 0.500

Values from the calculation:
- DOS at the Fermi energy: 7.4 states/eV/cell
- Size of the total moment: 0.000 μB/cell


It is i that is the least stable of them.


--- i ---
Below is a relaxed structure of BaTaIn3, with properties calculated at the PBE level.

a = 5.462 Å, b = 5.462 Å, c = 5.462 Å
α = 90.00°, β = 90.00°, γ = 90.00°
Positions (direct):
Ba 0.000 0.000 0.000
Ta 0.500 0.500 0.500
In 0.000 0.500 0.500
In 0.500 0.000 0.500
In 0.500 0.500 0.000

Values from the calculation:
- DOS at the Fermi energy: 1.7 states/eV/cell
- Size of the total moment: 0.000 μB/cell


--- ii ---
Below is a relaxed structure of BaTaIn3, with properties calculated at the PBE level.

a = 5.954 Å, b = 5.954 Å, c = 5.954 Å
α = 90.00°, β = 90.00°, γ = 90.00°
Positions (direct):
Ba 0.000 0.000 0.000
Ta 0.500 0.500 0.500
In 0.000 0.000 0.500
In 0.000 0.500 0.000
In 0.500 0.000 0.000

Values from the calculation:
- DOS at the Fermi energy: 10.6 states/eV/cell
- Size of the total moment: 0.769 μB/cell


It is ii that is the least stable of them.


--- i ---
Below is a relaxed structure of BaTa3In, with properties calculated at the PBE level.

a = 5.244 Å, b = 5.244 Å, c = 5.244 Å
α = 90.00°, β = 90.00°, γ = 90.00°
Positions (direct):
Ba 0.000 0.000 0.000
Ta 0.000 0.500 0.500
Ta 0.500 0.000 0.500
Ta 0.500 0.500 0.000
In 0.500 0.500 0.500

Values from the calculation:
- DOS at the Fermi energy: 9.8 states/eV/cell
- Size of the total moment: 0.288 μB/cell


--- ii ---
Below is a relaxed structure of BaTa3In, with properties calculated at the PBE level.

a = 5.108 Å, b = 5.108 Å, c = 5.108 Å
α = 90.00°, β = 90.00°, γ = 90.00°
Positions (direct):
Ba 0.000 0.000 0.000
Ta 0.000 0.000 0.500
Ta 0.000 0.500 0.000
Ta 0.500 0.000 0.000
In 0.500 0.500 0.500

Values from the calculation:
- DOS at the Fermi energy: 3.9 states/eV/cell
- Size of the total moment: 0.000 μB/cell


It is ii that is the least stable of them.


--- i ---
Below is a relaxed structure of BaTbIn, with properties calculated at the PBE level.

a = 7.489 Å, b = 7.489 Å, c = 7.489 Å
α = 148.86°, β = 148.86°, γ = 44.61°
Positions (direct):
Ba 0.000 0.000 0.000
Tb 0.279 0.279 0.000
In 0.676 0.676 0.000

Values from the calculation:
- DOS at the Fermi energy: 3.5 states/eV/cell
- Size of the total moment: 0.000 μB/cell


--- ii ---
Below is a relaxed structure of BaTbIn, with properties calculated at the PBE level.

a = 5.259 Å, b = 5.259 Å, c = 8.358 Å
α = 90.00°, β = 90.00°, γ = 90.00°
Positions (direct):
Ba 0.250 0.250 0.142
Ba 0.750 0.750 0.858
Tb 0.250 0.750 0.500
Tb 0.750 0.250 0.500
In 0.250 0.250 0.716
In 0.750 0.750 0.284

Values from the calculation:
- DOS at the Fermi energy: 3.4 states/eV/cell
- Size of the total moment: 0.002 μB/cell


It is i that is the least stable of them.